VASP calculation (PBE) on a relaxed HfSc8 crystal.

Output
Spin magnetization   0.000 μB/f.u.
Offset from the most stable computed form   79.3 meV per atom
VASP energy   -59.46 eV/cell
Energy of formation from the pure elements   0.13 eV per atom

a b c (Å): 3.406 8.191 8.191
angles (deg): 87.52 78.00 78.00
Fractional coordinates of all 9 atoms:
Sc (0.663, 0.674, 0.000)
Sc (0.000, 0.668, 0.332)
Sc (0.337, 0.326, 0.000)
Sc (0.663, 0.000, 0.674)
Sc (0.332, 0.668, 0.668)
Sc (0.668, 0.332, 0.332)
Sc (0.000, 0.332, 0.668)
Sc (0.337, 0.000, 0.326)
Hf (0.000, 0.000, 0.000)

VASP calculation (PBE) on a relaxed HfSc2Se crystal.

Output
Spin magnetization   0.000 μB/f.u.
VASP energy   -28.61 eV/cell

a b c (Å): 3.401 3.401 7.264
angles (deg): 90.00 90.00 90.00
Fractional coordinates of all 4 atoms:
Sc (0.000, 0.000, 0.778)
Sc (0.000, 0.000, 0.222)
Hf (0.500, 0.500, 0.500)
Se (0.500, 0.500, 0.000)

VASP calculation (PBE) on a relaxed HfSc3Se crystal.

Output
Spin magnetization   0.000 μB/f.u.
Offset from the most stable computed form   880.7 meV per atom
VASP energy   -28.98 eV/cell

a b c (Å): 5.192 5.192 5.192
angles (deg): 90.00 90.00 90.00
Fractional coordinates of all 5 atoms:
Hf (0.000, 0.000, 0.000)
Sc (0.000, 0.500, 0.000)
Sc (0.500, 0.000, 0.000)
Sc (0.000, 0.000, 0.500)
Se (0.500, 0.500, 0.500)

VASP calculation (PBE) on a relaxed Hf2ScSe crystal.

Output
Spin magnetization   1.233 μB/f.u.
VASP energy   -29.97 eV/cell

a b c (Å): 3.282 3.282 9.928
angles (deg): 80.49 80.49 60.00
Fractional coordinates of all 4 atoms:
Se (0.500, 0.500, 0.500)
Sc (0.000, 0.000, 0.000)
Hf (0.901, 0.901, 0.298)
Hf (0.099, 0.099, 0.702)